A plane-wave DFT calculation with GGA-PBE was carried out for an optimized crystal structure of Nd12Cu6Ag.

Unit cell a=8.8046 b=8.8046 c=8.8046 alpha=109.47 beta=109.47 gamma=109.47
Atoms (fractional coordinates):
Nd: 0.1092 0.8115 0.2977
Nd: 0.1885 0.2977 0.4862
Nd: 0.1885 0.7023 0.8908
Nd: 0.2977 0.1092 0.8115
Nd: 0.2977 0.4862 0.1885
Nd: 0.4862 0.1885 0.2977
Nd: 0.5138 0.8115 0.7023
Nd: 0.7023 0.5138 0.8115
Nd: 0.7023 0.8908 0.1885
Nd: 0.8115 0.2977 0.1092
Nd: 0.8115 0.7023 0.5138
Nd: 0.8908 0.1885 0.7023
Cu: 0.1214 0.6214 0.5000
Cu: 0.3786 0.5000 0.8786
Cu: 0.5000 0.1214 0.6214
Cu: 0.5000 0.8786 0.3786
Cu: 0.6214 0.5000 0.1214
Cu: 0.8786 0.3786 0.5000
Ag: 0.0000 0.0000 0.0000

Results
- D(E_F): 20.56 states/eV per cell
- ΔH_f (0 K): -150 kJ/mol of formula units

=====

A plane-wave DFT calculation with GGA-PBE was carried out for an optimized crystal structure of Nd6CuAg2.

Unit cell a=6.3775 b=8.0234 c=12.1071 alpha=90.00 beta=119.42 gamma=90.00
Atoms (fractional coordinates):
Nd: 0.0878 0.2111 0.4409
Nd: 0.0878 0.2889 0.9409
Nd: 0.3009 0.6612 0.4495
Nd: 0.3009 0.8388 0.9495
Nd: 0.3850 0.0467 0.2418
Nd: 0.3850 0.4533 0.7418
Nd: 0.6150 0.5467 0.2582
Nd: 0.6150 0.9533 0.7582
Nd: 0.6991 0.1612 0.0505
Nd: 0.6991 0.3388 0.5505
Nd: 0.9122 0.7111 0.0591
Nd: 0.9122 0.7889 0.5591
Cu: 0.5000 0.0000 0.5000
Cu: 0.5000 0.5000 0.0000
Ag: 0.1360 0.1052 0.7280
Ag: 0.1360 0.3948 0.2280
Ag: 0.8640 0.6052 0.7720
Ag: 0.8640 0.8948 0.2720

Results
- D(E_F): 24.10 states/eV per cell
- ΔH_f (0 K): -41 kJ/mol of formula units

=====

A plane-wave DFT calculation with GGA-PBE was carried out for an optimized crystal structure of Nd2Cu2Ag3.

Unit cell a=5.5221 b=5.5221 c=7.0557 alpha=97.14 beta=97.14 gamma=43.63
Atoms (fractional coordinates):
Nd: 0.1252 0.1252 0.3269
Nd: 0.8748 0.8748 0.6731
Cu: 0.4159 0.4159 0.3540
Cu: 0.5841 0.5841 0.6460
Ag: 0.1862 0.1862 0.8665
Ag: 0.5000 0.5000 0.0000
Ag: 0.8138 0.8138 0.1335

Results
- D(E_F): 4.25 states/eV per cell
- ΔH_f (0 K): -130 kJ/mol of formula units

=====

A plane-wave DFT calculation with GGA-PBE was carried out for an optimized crystal structure of Nd2Cu5Ni2Ag.

Unit cell a=9.2144 b=9.2144 c=3.8762 alpha=90.00 beta=90.00 gamma=90.00
Atoms (fractional coordinates):
Nd: 0.1832 0.3168 0.0000
Nd: 0.3168 0.8168 0.0000
Nd: 0.6832 0.1832 0.0000
Nd: 0.8168 0.6832 0.0000
Cu: 0.0000 0.5000 0.5000
Cu: 0.0568 0.7893 0.5000
Cu: 0.2107 0.0568 0.5000
Cu: 0.2893 0.5568 0.5000
Cu: 0.4432 0.2893 0.5000
Cu: 0.5000 0.0000 0.5000
Cu: 0.5568 0.7107 0.5000
Cu: 0.7107 0.4432 0.5000
Cu: 0.7893 0.9432 0.5000
Cu: 0.9432 0.2107 0.5000
Ni: 0.1132 0.6132 0.0000
Ni: 0.3868 0.1132 0.0000
Ni: 0.6132 0.8868 0.0000
Ni: 0.8868 0.3868 0.0000
Ag: 0.0000 0.0000 0.0000
Ag: 0.5000 0.5000 0.0000

Results
- D(E_F): 10.73 states/eV per cell
- ΔH_f (0 K): -104 kJ/mol of formula units

=====

A plane-wave DFT calculation with GGA-PBE was carried out for an optimized crystal structure of Nd2CuAgO5.

Unit cell a=6.8134 b=6.8134 c=5.5318 alpha=90.00 beta=90.00 gamma=90.00
Atoms (fractional coordinates):
Nd: 0.1773 0.3227 0.0000
Nd: 0.3227 0.8227 0.0000
Nd: 0.6773 0.1773 0.0000
Nd: 0.8227 0.6773 0.0000
Cu: 0.0000 0.5000 0.5000
Cu: 0.5000 0.0000 0.5000
Ag: 0.0000 0.0000 0.5000
Ag: 0.5000 0.5000 0.5000
O: 0.0000 0.0000 0.0000
O: 0.1291 0.6291 0.2572
O: 0.1291 0.6291 0.7428
O: 0.3709 0.1291 0.2572
O: 0.3709 0.1291 0.7428
O: 0.5000 0.5000 0.0000
O: 0.6291 0.8709 0.2572
O: 0.6291 0.8709 0.7428
O: 0.8709 0.3709 0.2572
O: 0.8709 0.3709 0.7428

Results
- ΔE_f (raw): -1.931 eV/atom

=====

A plane-wave DFT calculation with GGA-PBE was carried out for an optimized crystal structure of NdCuAgPd.

Unit cell a=4.8261 b=4.8261 c=4.8261 alpha=60.00 beta=60.00 gamma=60.00
Atoms (fractional coordinates):
Nd: 0.0000 0.0000 0.0000
Cu: 0.2500 0.2500 0.2500
Ag: 0.5000 0.5000 0.5000
Pd: 0.7500 0.7500 0.7500

Results
- D(E_F): 2.23 states/eV per cell
- ΔH_f (0 K): -112 kJ/mol of formula units

=====

A plane-wave DFT calculation with GGA-PBE was carried out for an optimized crystal structure of PrNdCuAg.

Unit cell a=3.6812 b=3.6812 c=7.4134 alpha=90.00 beta=90.00 gamma=90.00
Atoms (fractional coordinates):
Pr: 0.0000 0.0000 0.0000
Nd: 0.0000 0.0000 0.4716
Cu: 0.5000 0.5000 0.2410
Ag: 0.5000 0.5000 0.7314

Results
- D(E_F): 3.71 states/eV per cell
- Offset from the most stable computed form: 0.000 eV per formula unit
- ΔH_f (0 K): -73 kJ/mol of formula units

=====

A plane-wave DFT calculation with GGA-PBE was carried out for an optimized crystal structure of PrNdCuAg.

Unit cell a=5.2318 b=5.2318 c=5.2318 alpha=60.00 beta=60.00 gamma=60.00
Atoms (fractional coordinates):
Pr: 0.0000 0.0000 0.0000
Nd: 0.5000 0.5000 0.5000
Cu: 0.7500 0.7500 0.7500
Ag: 0.2500 0.2500 0.2500

Results
- D(E_F): 3.93 states/eV per cell
- Offset from the most stable computed form: 0.089 eV per formula unit
- ΔH_f (0 K): -65 kJ/mol of formula units

=====

A plane-wave DFT calculation with GGA-PBE was carried out for an optimized crystal structure of NdPuCuAg.

Unit cell a=5.1569 b=5.1569 c=5.1569 alpha=60.00 beta=60.00 gamma=60.00
Atoms (fractional coordinates):
Nd: 0.0000 0.0000 0.0000
Pu: 0.5000 0.5000 0.5000
Cu: 0.7500 0.7500 0.7500
Ag: 0.2500 0.2500 0.2500

Results
- D(E_F): 11.36 states/eV per cell
- ΔH_f (0 K): 8 kJ/mol of formula units

=====

A plane-wave DFT calculation with GGA-PBE was carried out for an optimized crystal structure of NdCuAgRh.

Unit cell a=4.7676 b=4.7676 c=4.7676 alpha=60.00 beta=60.00 gamma=60.00
Atoms (fractional coordinates):
Nd: 0.0000 0.0000 0.0000
Cu: 0.7500 0.7500 0.7500
Ag: 0.5000 0.5000 0.5000
Rh: 0.2500 0.2500 0.2500

Results
- D(E_F): 1.77 states/eV per cell
- ΔH_f (0 K): -54 kJ/mol of formula units

=====

A plane-wave DFT calculation with GGA-PBE was carried out for an optimized crystal structure of NdCuAg2S4.

Unit cell a=6.9336 b=6.9336 c=12.4228 alpha=90.00 beta=90.00 gamma=146.92
Atoms (fractional coordinates):
Nd: 0.0856 0.9144 0.7500
Nd: 0.9144 0.0856 0.2500
Cu: 0.1745 0.8255 0.2500
Cu: 0.8255 0.1745 0.7500
Ag: 0.3754 0.6246 0.5539
Ag: 0.3754 0.6246 0.9461
Ag: 0.6246 0.3754 0.0539
Ag: 0.6246 0.3754 0.4461
S: 0.0000 0.0000 0.0000
S: 0.0000 0.0000 0.5000
S: 0.3067 0.6933 0.1295
S: 0.3067 0.6933 0.3705
S: 0.4233 0.5767 0.7500
S: 0.5767 0.4233 0.2500
S: 0.6933 0.3067 0.6295
S: 0.6933 0.3067 0.8705

Results
- D(E_F): 7.52 states/eV per cell
- ΔE_f (raw): -0.597 eV/atom

=====

A plane-wave DFT calculation with GGA-PBE was carried out for an optimized crystal structure of NdCuAgSn.

Unit cell a=4.9505 b=4.9505 c=4.9505 alpha=60.00 beta=60.00 gamma=60.00
Atoms (fractional coordinates):
Nd: 0.0000 0.0000 0.0000
Cu: 0.2500 0.2500 0.2500
Ag: 0.7500 0.7500 0.7500
Sn: 0.5000 0.5000 0.5000

Results
- D(E_F): 2.41 states/eV per cell
- ΔH_f (0 K): -128 kJ/mol of formula units

=====

A plane-wave DFT calculation with GGA-PBE was carried out for an optimized crystal structure of NdCuAgSn2.

Unit cell a=6.6289 b=6.6289 c=6.6289 alpha=140.71 beta=140.71 gamma=56.78
Atoms (fractional coordinates):
Nd: 0.0000 0.0000 0.0000
Cu: 0.7500 0.2500 0.5000
Ag: 0.2500 0.7500 0.5000
Sn: 0.3798 0.3798 0.0000
Sn: 0.6202 0.6202 0.0000

Results
- D(E_F): 1.19 states/eV per cell
- ΔH_f (0 K): -167 kJ/mol of formula units

=====

A plane-wave DFT calculation with GGA-PBE was carried out for an optimized crystal structure of NdCuAgTe3.

Unit cell a=8.7252 b=4.2743 c=9.0970 alpha=90.00 beta=95.98 gamma=90.00
Atoms (fractional coordinates):
Nd: 0.1501 0.2500 0.2365
Nd: 0.8499 0.7500 0.7635
Cu: 0.0627 0.2500 0.5713
Cu: 0.9373 0.7500 0.4287
Ag: 0.3620 0.7500 0.8522
Ag: 0.6380 0.2500 0.1478
Te: 0.1127 0.2500 0.8643
Te: 0.2359 0.7500 0.5135
Te: 0.4086 0.7500 0.1690
Te: 0.5914 0.2500 0.8310
Te: 0.7641 0.2500 0.4865
Te: 0.8873 0.7500 0.1357

Results
- D(E_F): 6.56 states/eV per cell
- ΔE_f (raw): -0.573 eV/atom

=====

A plane-wave DFT calculation with GGA-PBE was carried out for an optimized crystal structure of Nd2Zn3Cu12Ag.

Unit cell a=9.6446 b=9.6446 c=9.6446 alpha=38.46 beta=38.46 gamma=38.46
Atoms (fractional coordinates):
Nd: 0.1407 0.1407 0.1407
Nd: 0.8593 0.8593 0.8593
Zn: 0.0000 0.5000 0.5000
Zn: 0.5000 0.0000 0.5000
Zn: 0.5000 0.5000 0.0000
Cu: 0.0492 0.6227 0.6227
Cu: 0.0833 0.0833 0.7044
Cu: 0.0833 0.7044 0.0833
Cu: 0.2956 0.9167 0.9167
Cu: 0.3773 0.3773 0.9508
Cu: 0.3773 0.9508 0.3773
Cu: 0.6227 0.0492 0.6227
Cu: 0.6227 0.6227 0.0492
Cu: 0.7044 0.0833 0.0833
Cu: 0.9167 0.2956 0.9167
Cu: 0.9167 0.9167 0.2956
Cu: 0.9508 0.3773 0.3773
Ag: 0.5000 0.5000 0.5000

Results
- D(E_F): 8.71 states/eV per cell
- ΔH_f (0 K): 235 kJ/mol of formula units

=====

A plane-wave DFT calculation with GGA-PBE was carried out for an optimized crystal structure of Nd2Zn12Cu3Ag.

Unit cell a=8.1610 b=8.1610 c=8.1610 alpha=59.86 beta=59.86 gamma=59.86
Atoms (fractional coordinates):
Nd: 0.1133 0.1133 0.1133
Nd: 0.8867 0.8867 0.8867
Zn: 0.1096 0.6246 0.6246
Zn: 0.1465 0.1465 0.6257
Zn: 0.1465 0.6257 0.1465
Zn: 0.3743 0.8535 0.8535
Zn: 0.3754 0.3754 0.8904
Zn: 0.3754 0.8904 0.3754
Zn: 0.6246 0.1096 0.6246
Zn: 0.6246 0.6246 0.1096
Zn: 0.6257 0.1465 0.1465
Zn: 0.8535 0.3743 0.8535
Zn: 0.8535 0.8535 0.3743
Zn: 0.8904 0.3754 0.3754
Cu: 0.0000 0.5000 0.5000
Cu: 0.5000 0.0000 0.5000
Cu: 0.5000 0.5000 0.0000
Ag: 0.5000 0.5000 0.5000

Results
- D(E_F): 9.31 states/eV per cell
- ΔH_f (0 K): 419 kJ/mol of formula units

=====

A plane-wave DFT calculation with GGA-PBE was carried out for an optimized crystal structure of NdZn5Cu2Ag.

Unit cell a=4.6957 b=4.6957 c=7.1878 alpha=90.00 beta=90.00 gamma=90.00
Atoms (fractional coordinates):
Nd: 0.0000 0.0000 0.0000
Zn: 0.0000 0.5000 0.2873
Zn: 0.0000 0.5000 0.7127
Zn: 0.5000 0.0000 0.2873
Zn: 0.5000 0.0000 0.7127
Zn: 0.5000 0.5000 0.0000
Cu: 0.5000 0.5000 0.3352
Cu: 0.5000 0.5000 0.6648
Ag: 0.0000 0.0000 0.5000

Results
- D(E_F): 2.04 states/eV per cell
- ΔH_f (0 K): -43 kJ/mol of formula units

=====

A plane-wave DFT calculation with GGA-PBE was carried out for an optimized crystal structure of NdZnCuAg.

Unit cell a=4.8087 b=4.8087 c=4.8087 alpha=60.00 beta=60.00 gamma=60.00
Atoms (fractional coordinates):
Nd: 0.0000 0.0000 0.0000
Zn: 0.7500 0.7500 0.7500
Cu: 0.2500 0.2500 0.2500
Ag: 0.5000 0.5000 0.5000

Results
- D(E_F): 3.37 states/eV per cell
- ΔH_f (0 K): -65 kJ/mol of formula units

=====

A plane-wave DFT calculation with GGA-PBE was carried out for an optimized crystal structure of CuNi2Ag.

Unit cell a=2.7669 b=4.3110 c=4.3449 alpha=90.00 beta=90.00 gamma=90.00
Atoms (fractional coordinates):
Cu: 0.0000 0.0000 0.0000
Ni: 0.0000 0.5000 0.5000
Ni: 0.5000 0.0000 0.5000
Ag: 0.5000 0.5000 0.0000

Results
- D(E_F): 4.66 states/eV per cell
- ΔH_f (0 K): 92 kJ/mol of formula units

=====

A plane-wave DFT calculation with GGA-PBE was carried out for an optimized crystal structure of CuNi2Ag.

Unit cell a=2.5926 b=2.5926 c=8.6223 alpha=90.00 beta=90.00 gamma=115.48
Atoms (fractional coordinates):
Cu: 0.0000 0.0000 0.0000
Ni: 0.5000 0.5000 0.2336
Ni: 0.5000 0.5000 0.7664
Ag: 0.0000 0.0000 0.5000

Results
- D(E_F): 5.01 states/eV per cell
- ΔH_f (0 K): 96 kJ/mol of formula units

=====

A plane-wave DFT calculation with GGA-PBE was carried out for an optimized crystal structure of CuNi2Ag.

Unit cell a=5.3714 b=5.3714 c=5.3714 alpha=102.49 beta=102.49 gamma=124.56
Atoms (fractional coordinates):
Cu: 0.0000 0.0000 0.0000
Cu: 0.7500 0.2500 0.5000
Ni: 0.0999 0.1250 0.4749
Ni: 0.3750 0.9001 0.0251
Ni: 0.6501 0.6250 0.5251
Ni: 0.8750 0.3499 0.9749
Ag: 0.2500 0.7500 0.5000
Ag: 0.5000 0.5000 0.0000

Results
- D(E_F): 10.13 states/eV per cell
- ΔH_f (0 K): 214 kJ/mol of formula units

=====

A plane-wave DFT calculation with GGA-PBE was carried out for an optimized crystal structure of CuNi2Ag.

Unit cell a=4.5577 b=4.5577 c=4.5376 alpha=100.43 beta=100.43 gamma=33.82
Atoms (fractional coordinates):
Cu: 0.0000 0.0000 0.0000
Ni: 0.2558 0.2558 0.7688
Ni: 0.7442 0.7442 0.2312
Ag: 0.5000 0.5000 0.5000

Results
- D(E_F): 4.58 states/eV per cell
- ΔH_f (0 K): 72 kJ/mol of formula units

=====

A plane-wave DFT calculation with GGA-PBE was carried out for an optimized crystal structure of Cu2NiAg2.

Unit cell a=6.1401 b=6.1401 c=3.9372 alpha=90.00 beta=90.00 gamma=90.00
Atoms (fractional coordinates):
Cu: 0.1349 0.3651 0.0000
Cu: 0.3651 0.8651 0.0000
Cu: 0.6349 0.1349 0.0000
Cu: 0.8651 0.6349 0.0000
Ni: 0.0000 0.0000 0.0000
Ni: 0.5000 0.5000 0.0000
Ag: 0.1721 0.6721 0.5000
Ag: 0.3279 0.1721 0.5000
Ag: 0.6721 0.8279 0.5000
Ag: 0.8279 0.3279 0.5000

Results
- D(E_F): 1.71 states/eV per cell
- ΔH_f (0 K): 132 kJ/mol of formula units